# Ba2NaIn3Hg12 PBE relaxed
data_Ba2NaIn3Hg12
_space_group_name_H-M_alt 'P 1'
_space_group_IT_number 1
_space_group_name_Hall 'P 1'
_cell_length_a 8.146
_cell_length_b 8.146
_cell_length_c 8.146
_cell_angle_alpha 85.03
_cell_angle_beta 85.03
_cell_angle_gamma 85.03
loop_
_atom_site_label
_atom_site_type_symbol
_atom_site_fract_x
_atom_site_fract_y
_atom_site_fract_z
_atom_site_occupancy
Ba1 Ba 0.200 0.200 0.200 1
Ba2 Ba 0.800 0.800 0.800 1
Na1 Na 0.500 0.500 0.500 1
In1 In 0.000 0.500 0.500 1
In2 In 0.500 0.000 0.500 1
In3 In 0.500 0.500 0.000 1
Hg1 Hg 0.092 0.092 0.626 1
Hg2 Hg 0.092 0.626 0.092 1
Hg3 Hg 0.218 0.695 0.695 1
Hg4 Hg 0.305 0.305 0.782 1
Hg5 Hg 0.305 0.782 0.305 1
Hg6 Hg 0.374 0.908 0.908 1
Hg7 Hg 0.626 0.092 0.092 1
Hg8 Hg 0.695 0.218 0.695 1
Hg9 Hg 0.695 0.695 0.218 1
Hg10 Hg 0.782 0.305 0.305 1
Hg11 Hg 0.908 0.374 0.908 1
Hg12 Hg 0.908 0.908 0.374 1
# Symmetry = No. 166
# Crystal system = trigonal
# E_form = -0.16 eV/atom

# BaNa2In2Hg2 PBE relaxed
data_BaNa2In2Hg2
_space_group_name_H-M_alt 'P 1'
_space_group_IT_number 1
_space_group_name_Hall 'P 1'
_cell_length_a 10.012
_cell_length_b 10.012
_cell_length_c 10.012
_cell_angle_alpha 29.65
_cell_angle_beta 29.65
_cell_angle_gamma 29.65
loop_
_atom_site_label
_atom_site_type_symbol
_atom_site_fract_x
_atom_site_fract_y
_atom_site_fract_z
_atom_site_occupancy
Ba1 Ba 0.000 0.000 0.000 1
Na1 Na 0.135 0.135 0.135 1
Na2 Na 0.865 0.865 0.865 1
In1 In 0.255 0.255 0.255 1
In2 In 0.745 0.745 0.745 1
Hg1 Hg 0.411 0.411 0.411 1
Hg2 Hg 0.589 0.589 0.589 1
# Symmetry = No. 166
# Crystal system = trigonal
# E_form = -0.28 eV/atom

# BaNa2InHg4 PBE relaxed
data_BaNa2InHg4
_space_group_name_H-M_alt 'P 1'
_space_group_IT_number 1
_space_group_name_Hall 'P 1'
_cell_length_a 10.420
_cell_length_b 10.420
_cell_length_c 10.420
_cell_angle_alpha 29.03
_cell_angle_beta 29.03
_cell_angle_gamma 29.03
loop_
_atom_site_label
_atom_site_type_symbol
_atom_site_fract_x
_atom_site_fract_y
_atom_site_fract_z
_atom_site_occupancy
Ba1 Ba 0.000 0.000 0.000 1
Na1 Na 0.232 0.232 0.232 1
Na2 Na 0.768 0.768 0.768 1
In1 In 0.500 0.500 0.500 1
Hg1 Hg 0.121 0.121 0.121 1
Hg2 Hg 0.394 0.394 0.394 1
Hg3 Hg 0.606 0.606 0.606 1
Hg4 Hg 0.879 0.879 0.879 1
# Symmetry = No. 166
# Crystal system = trigonal
# E_form = -0.29 eV/atom

# Ba2NaInHg6 PBE relaxed
data_Ba2NaInHg6
_space_group_name_H-M_alt 'P 1'
_space_group_IT_number 1
_space_group_name_Hall 'P 1'
_cell_length_a 7.913
_cell_length_b 7.913
_cell_length_c 7.913
_cell_angle_alpha 60.00
_cell_angle_beta 60.00
_cell_angle_gamma 60.00
loop_
_atom_site_label
_atom_site_type_symbol
_atom_site_fract_x
_atom_site_fract_y
_atom_site_fract_z
_atom_site_occupancy
Ba1 Ba 0.250 0.250 0.250 1
Ba2 Ba 0.750 0.750 0.750 1
Na1 Na 0.000 0.000 0.000 1
In1 In 0.500 0.500 0.500 1
Hg1 Hg 0.246 0.246 0.754 1
Hg2 Hg 0.246 0.754 0.246 1
Hg3 Hg 0.246 0.754 0.754 1
Hg4 Hg 0.754 0.246 0.246 1
Hg5 Hg 0.754 0.246 0.754 1
Hg6 Hg 0.754 0.754 0.246 1
# Symmetry = No. 225
# Crystal system = cubic
# E_form = -0.17 eV/atom

What size of the total moment values result from the calculations? In sequence: 0.00, 0.00, 0.00, 0.00 Bohr magnetons per cell.
What E_tot values result from the calculations? In sequence: -1.103, -1.799, -1.356, -1.138 eV/atom.
What Fermi-level density of states values result from the calculations? In sequence: 11.071, 4.337, 4.604, 6.393 states/eV/cell.